(1)
Below is a geometry-optimized CsSc2Au structure, with properties calculated at the PBE level.

## Properties
DFT total energy ... -3.773 eV/atom
Calculated formation energy ... 0.4259 eV per atom
Polymorph energy (0 for the lowest one) ... 0.3167 eV/atom
SG ... I4_1/amd

Cell: 9.6645 9.6645 9.6645 Å, 140.96 140.96 56.39°
Last column: nearest neighbours and their distance in Å.
Sites, in units of the cell vectors:
Cs  0.3750  0.6250  0.7500  8 Sc 4.19, 4 Au 4.57
Cs  0.6250  0.3750  0.2500  8 Sc 4.19, 4 Au 4.57
Sc  0.0000  0.0000  0.0000  2 Au 2.67
Sc  0.0000  0.0000  0.5000  2 Au 2.67
Sc  0.0000  0.5000  0.0000  2 Au 2.67
Sc  0.5000  0.0000  0.5000  2 Au 2.67
Au  0.1250  0.8750  0.2500  4 Sc 2.67
Au  0.8750  0.1250  0.7500  4 Sc 2.67



(2)
Below is a geometry-optimized EuTcO3 structure, with properties calculated at the PBE level.

## Properties
Formation energy without anion corrections ... -1996 meV per atom
DFT total energy ... -9.099 eV/atom
SG ... Pm-3m

Cell: 3.9830 3.9830 3.9830 Å, 90.00 90.00 90.00°
Last column: nearest neighbours and their distance in Å.
Sites, in units of the cell vectors:
Eu  0.0000  0.0000  0.0000  12 O 2.82
Tc  0.5000  0.5000  0.5000  6 O 1.99
O  0.0000  0.5000  0.5000  2 Tc 1.99
O  0.5000  0.0000  0.5000  2 Tc 1.99
O  0.5000  0.5000  0.0000  2 Tc 1.99



(3)
Below is a geometry-optimized AlInFe structure, with properties calculated at the PBE level.

## Properties
DFT total energy ... -4.766 eV/atom
Calculated formation energy ... 0.2151 eV per atom
SG ... F-43m

Cell: 4.2902 4.2902 4.2902 Å, 60.00 60.00 60.00°
Last column: nearest neighbours and their distance in Å.
Sites, in units of the cell vectors:
Al  0.0000  0.0000  0.0000  4 Fe 2.63
In  0.5000  0.5000  0.5000  4 Fe 2.63
Fe  0.2500  0.2500  0.2500  4 In 2.63, 4 Al 2.63



(4)
Below is a geometry-optimized LiMgV2 structure, with properties calculated at the PBE level.

## Properties
DFT total energy ... -4.629 eV/atom
Calculated formation energy ... 0.8077 eV per atom
SG ... I-42d

Cell: 5.6418 5.6418 5.6418 Å, 100.06 100.06 130.60°
Last column: nearest neighbours and their distance in Å.
Sites, in units of the cell vectors:
Li  0.0000  0.0000  0.0000  2 Mg 2.36, 4 V 2.57
Li  0.7500  0.2500  0.5000  2 Mg 2.36, 4 V 2.57
Mg  0.2500  0.7500  0.5000  2 Li 2.36
Mg  0.5000  0.5000  0.0000  2 Li 2.36
V  0.1135  0.6250  0.9885  2 V 2.36, 2 Li 2.57
V  0.3750  0.3635  0.4885  2 V 2.36, 2 Li 2.57
V  0.6365  0.1250  0.0115  2 V 2.36, 2 Li 2.57
V  0.8750  0.8865  0.5115  2 V 2.36, 2 Li 2.57